Density functional theory data (PBE) for a geometry-optimized CaBe2Ni structure.

abc: 3.813 3.813 5.454
angles: 69.38 69.38 60.04
Atoms (fractional coordinates):
Ni 0.318 0.318 0.046
Ca 0.502 0.502 0.494
Be 0.998 0.998 0.007
Be 0.682 0.682 0.953

- offset from the most stable computed form (eV/atom) = 0.018
- E_tot (eV per atom) = -3.9473
- density (g cm⁻³) = 3.09
- SG = Cm (8)
- ΔE_f (meV/atom) = -138
- crystal system = monoclinic

Density functional theory data (PBE) for a geometry-optimized CuSiAg2 structure.

abc: 4.852 4.852 4.852
angles: 131.69 131.69 70.72
Atoms (fractional coordinates):
Ag 0.000 0.000 0.000
Ag 0.250 0.750 0.500
Cu 0.500 0.500 0.000
Si 0.750 0.250 0.500

- E_tot (eV per atom) = -3.6013
- formation energy from raw total energies (eV per formula unit) = 0.82
- density (g cm⁻³) = 8.18
- SG = I-4m2 (119)
- crystal system = tetragonal

Density functional theory data (PBE) for a geometry-optimized VSiTe4 structure.

abc: 5.268 8.918 8.738
angles: 104.79 90.00 107.18
Atoms (fractional coordinates):
V 0.205 0.411 0.286
V 0.795 0.589 0.714
Si 0.111 0.221 0.657
Si 0.889 0.779 0.343
Te 0.058 0.117 0.352
Te 0.118 0.237 0.006
Te 0.735 0.470 0.367
Te 0.643 0.286 0.759
Te 0.357 0.714 0.241
Te 0.265 0.530 0.633
Te 0.882 0.763 0.994
Te 0.942 0.883 0.648

- E_tot (eV per atom) = -4.4686
- formation energy from raw total energies (eV per formula unit) = 0.30
- density (g cm⁻³) = 5.18
- SG = C2/m (12)
- crystal system = monoclinic

Density functional theory data (PBE) for a geometry-optimized LaTlClO2 structure.

abc: 3.733 7.448 7.451
angles: 87.69 90.00 90.00
Atoms (fractional coordinates):
La 0.750 0.897 0.304
La 0.250 0.103 0.696
Tl 0.750 0.608 0.682
Tl 0.250 0.392 0.318
Cl 0.750 0.214 0.002
Cl 0.250 0.786 0.998
O 0.250 0.680 0.429
O 0.250 0.075 0.369
O 0.750 0.925 0.631
O 0.750 0.320 0.571

- E_tot (eV per atom) = -5.7696
- formation energy from raw total energies (eV per formula unit) = -9.79
- density (g cm⁻³) = 6.59
- SG = P2_1/m (11)
- crystal system = monoclinic

Density functional theory data (PBE) for a geometry-optimized CrFeIr3 structure.

abc: 4.599 5.331 6.033
angles: 102.48 98.41 106.18
Atoms (fractional coordinates):
Cr 0.420 0.834 0.865
Cr 0.624 0.744 0.289
Fe 0.224 0.441 0.476
Fe 0.820 0.137 0.678
Ir 0.037 0.543 0.082
Ir 0.418 0.340 0.872
Ir 0.626 0.239 0.282
Ir 0.007 0.035 0.073
Ir 0.230 0.937 0.479
Ir 0.814 0.642 0.675

- offset from the most stable computed form (eV/atom) = 0.000
- E_tot (eV per atom) = -9.0513
- density (g cm⁻³) = 16.80
- SG = P-1 (2)
- ΔE_f (meV/atom) = -118
- crystal system = triclinic

Density functional theory data (PBE) for a geometry-optimized TaCrCuRh structure.

abc: 4.338 4.338 4.338
angles: 60.00 60.00 60.00
Atoms (fractional coordinates):
Cr 0.000 0.000 0.000
Rh 0.500 0.500 0.500
Cu 0.250 0.250 0.250
Ta 0.750 0.750 0.750

- E_tot (eV per atom) = -8.3247
- density (g cm⁻³) = 11.49
- SG = F-43m (216)
- ΔE_f (meV/atom) = -94
- crystal system = cubic

Density functional theory data (PBE) for a geometry-optimized RhWBr structure.

abc: 3.008 3.008 6.559
angles: 90.00 90.00 120.00
Atoms (fractional coordinates):
Rh 0.333 0.667 0.359
Br 0.000 0.000 0.977
W 0.667 0.333 0.663

- offset from the most stable computed form (eV/atom) = 0.000
- E_tot (eV per atom) = -6.9209
- formation energy from raw total energies (eV per formula unit) = 1.21
- density (g cm⁻³) = 11.85
- SG = P3m1 (156)
- crystal system = trigonal

Density functional theory data (PBE) for a geometry-optimized Sr2ZnCd4Au3 structure.

abc: 4.384 4.384 12.931
angles: 90.00 90.00 90.00
Atoms (fractional coordinates):
Sr 0.500 0.000 0.243
Sr 0.000 0.500 0.757
Zn 0.500 0.500 0.500
Cd 0.500 0.500 0.000
Cd 0.000 0.000 0.000
Cd 0.500 0.000 0.636
Cd 0.000 0.500 0.364
Au 0.000 0.000 0.500
Au 0.500 0.000 0.851
Au 0.000 0.500 0.149

- E_tot (eV per atom) = -2.2152
- density (g cm⁻³) = 8.56
- SG = P-4m2 (115)
- ΔE_f (meV/atom) = -402
- crystal system = tetragonal

Density functional theory data (PBE) for a geometry-optimized Li2CaCdRh structure.

abc: 4.698 4.698 5.209
angles: 90.00 90.00 90.00
Atoms (fractional coordinates):
Ca 0.500 0.500 0.500
Li 0.000 0.500 0.000
Li 0.500 0.000 0.000
Rh 0.000 0.000 0.000
Cd 0.000 0.000 0.500

- E_tot (eV per atom) = -2.8661
- density (g cm⁻³) = 3.89
- SG = P4/mmm (123)
- ΔE_f (meV/atom) = -47
- crystal system = tetragonal

Density functional theory data (PBE) for a geometry-optimized BeInAg3 structure.

abc: 5.194 5.194 5.194
angles: 90.00 90.00 90.00
Atoms (fractional coordinates):
Be 0.500 0.500 0.500
Ag 0.000 0.500 0.000
Ag 0.000 0.000 0.500
Ag 0.500 0.000 0.000
In 0.000 0.000 0.000

- offset from the most stable computed form (eV/atom) = 0.839
- E_tot (eV per atom) = -1.8736
- density (g cm⁻³) = 5.30
- SG = Pm-3m (221)
- ΔE_f (meV/atom) = 1130
- crystal system = cubic

Density functional theory data (PBE) for a geometry-optimized Ho3HgRh4 structure.

abc: 4.703 6.862 9.406
angles: 90.00 90.00 90.00
Atoms (fractional coordinates):
Rh 0.500 0.756 0.000
Rh 0.500 0.756 0.500
Rh 0.500 0.244 0.000
Rh 0.500 0.244 0.500
Rh 0.000 0.756 0.750
Rh 0.000 0.756 0.250
Rh 0.000 0.244 0.250
Rh 0.000 0.244 0.750
Ho 0.000 0.000 0.000
Ho 0.000 0.000 0.500
Ho 0.500 0.000 0.750
Ho 0.500 0.000 0.250
Ho 0.500 0.500 0.750
Ho 0.500 0.500 0.250
Hg 0.000 0.500 0.000
Hg 0.000 0.500 0.500

- E_tot (eV per atom) = -6.1525
- density (g cm⁻³) = 12.11
- SG = P4/mmm (123)
- ΔE_f (meV/atom) = -722
- crystal system = tetragonal

Density functional theory data (PBE) for a geometry-optimized BaSrVCr2 structure.

abc: 5.583 5.247 5.583
angles: 90.00 90.00 90.00
Atoms (fractional coordinates):
Sr 0.500 0.500 0.500
V 0.000 0.500 0.000
Ba 0.000 0.000 0.000
Cr 0.000 0.000 0.500
Cr 0.500 0.000 0.000

- E_tot (eV per atom) = -4.5036
- density (g cm⁻³) = 3.86
- SG = P4/mmm (123)
- ΔE_f (meV/atom) = 1890
- crystal system = tetragonal